[1]
A relaxed Pm7CuI12 crystal. Source: Alexandria, functional PBE.

As for the space group: No. 148. The total energy is -3.988 eV per atom. The calculation puts the uncorrected formation energy at -1.191 eV/atom.

abc: 9.906 9.906 9.906
angles: 107.78 107.78 107.78
Positions (direct):
Pm 0.000 0.000 0.000
Pm 0.188 0.464 0.392
Pm 0.392 0.188 0.464
Pm 0.464 0.392 0.188
Pm 0.536 0.608 0.812
Pm 0.608 0.812 0.536
Pm 0.812 0.536 0.608
Cu 0.500 0.500 0.500
I 0.025 0.107 0.345
I 0.107 0.345 0.025
I 0.185 0.577 0.727
I 0.273 0.815 0.423
I 0.345 0.025 0.107
I 0.423 0.273 0.815
I 0.577 0.727 0.185
I 0.655 0.975 0.893
I 0.727 0.185 0.577
I 0.815 0.423 0.273
I 0.893 0.655 0.975
I 0.975 0.893 0.655

[2]
A relaxed Pm3CuI3 crystal. Source: Alexandria, functional PBE.

As for the space group: No. 214. The total energy is -4.175 eV per atom. The calculation puts the uncorrected formation energy at -0.890 eV/atom.

abc: 10.693 10.693 10.693
angles: 109.47 109.47 109.47
Positions (direct):
Pm 0.018 0.036 0.268
Pm 0.018 0.482 0.750
Pm 0.036 0.268 0.018
Pm 0.232 0.268 0.750
Pm 0.232 0.464 0.482
Pm 0.268 0.018 0.036
Pm 0.268 0.750 0.232
Pm 0.464 0.482 0.232
Pm 0.482 0.232 0.464
Pm 0.482 0.750 0.018
Pm 0.750 0.018 0.482
Pm 0.750 0.232 0.268
Cu 0.000 0.250 0.500
Cu 0.250 0.250 0.250
Cu 0.250 0.500 0.000
Cu 0.500 0.000 0.250
I 0.250 0.760 0.740
I 0.250 0.990 0.510
I 0.510 0.250 0.990
I 0.510 0.760 0.519
I 0.519 0.510 0.760
I 0.740 0.250 0.760
I 0.740 0.990 0.981
I 0.760 0.519 0.510
I 0.760 0.740 0.250
I 0.981 0.740 0.990
I 0.990 0.510 0.250
I 0.990 0.981 0.740

[3]
A relaxed Pm4CuI5 crystal. Source: Alexandria, functional PBE.

As for the space group: No. 12. The total energy is -4.110 eV per atom. The calculation puts the uncorrected formation energy at -1.025 eV/atom.

abc: 9.915 9.915 9.109
angles: 102.14 102.14 24.38
Positions (direct):
Pm 0.000 0.000 0.212
Pm 0.000 0.000 0.788
Pm 0.351 0.351 0.926
Pm 0.649 0.649 0.074
Cu 0.500 0.500 0.000
I 0.167 0.167 0.343
I 0.174 0.174 0.820
I 0.500 0.500 0.500
I 0.826 0.826 0.180
I 0.833 0.833 0.657

[4]
A relaxed Pm8CuRh3I4 crystal. Source: Alexandria, functional PBE.

As for the space group: No. 166. The total energy is -5.238 eV per atom. The calculation puts the uncorrected formation energy at -0.840 eV/atom.

abc: 9.410 9.410 9.410
angles: 52.72 52.72 52.72
Positions (direct):
Pm 0.222 0.731 0.731
Pm 0.229 0.229 0.229
Pm 0.269 0.269 0.778
Pm 0.269 0.778 0.269
Pm 0.731 0.222 0.731
Pm 0.731 0.731 0.222
Pm 0.771 0.771 0.771
Pm 0.778 0.269 0.269
Cu 0.500 0.500 0.500
Rh 0.000 0.000 0.500
Rh 0.000 0.500 0.000
Rh 0.500 0.000 0.000
I 0.000 0.000 0.000
I 0.000 0.500 0.500
I 0.500 0.000 0.500
I 0.500 0.500 0.000

[5]
A relaxed Pm4CuSI2 crystal. Source: Alexandria, functional PBE.

As for the space group: No. 10. The total energy is -4.800 eV per atom. The calculation puts the uncorrected formation energy at -1.009 eV/atom.

abc: 7.234 4.088 8.173
angles: 90.00 107.10 90.00
Positions (direct):
Pm 0.223 0.000 0.193
Pm 0.273 0.500 0.808
Pm 0.727 0.500 0.192
Pm 0.777 0.000 0.807
Cu 0.500 0.000 0.000
S 0.000 0.500 0.000
I 0.000 0.000 0.500
I 0.500 0.500 0.500

[6]
A relaxed Pm4CuSeI2 crystal. Source: Alexandria, functional PBE.

As for the space group: No. 10. The total energy is -4.664 eV per atom. The calculation puts the uncorrected formation energy at -0.954 eV/atom.

abc: 7.438 4.167 8.087
angles: 90.00 107.27 90.00
Positions (direct):
Pm 0.217 0.000 0.195
Pm 0.262 0.500 0.801
Pm 0.738 0.500 0.199
Pm 0.783 0.000 0.805
Cu 0.000 0.500 0.000
Se 0.500 0.000 0.000
I 0.000 0.000 0.500
I 0.500 0.500 0.500

[7]
A relaxed Pm8CuSi3I4 crystal. Source: Alexandria, functional PBE.

As for the space group: No. 166. The total energy is -4.856 eV per atom. The calculation puts the uncorrected formation energy at -0.821 eV/atom.

abc: 9.080 9.080 9.080
angles: 56.31 56.31 56.31
Positions (direct):
Pm 0.233 0.233 0.233
Pm 0.234 0.733 0.733
Pm 0.267 0.267 0.766
Pm 0.267 0.766 0.267
Pm 0.733 0.234 0.733
Pm 0.733 0.733 0.234
Pm 0.766 0.267 0.267
Pm 0.767 0.767 0.767
Cu 0.500 0.500 0.500
Si 0.000 0.000 0.500
Si 0.000 0.500 0.000
Si 0.500 0.000 0.000
I 0.000 0.000 0.000
I 0.000 0.500 0.500
I 0.500 0.000 0.500
I 0.500 0.500 0.000

[8]
A relaxed PmTlCuI5 crystal. Source: Alexandria, functional PBE.

As for the space group: No. 15. The total energy is -3.243 eV per atom. The calculation puts the uncorrected formation energy at -0.872 eV/atom.

abc: 8.332 8.332 11.403
angles: 104.03 104.03 106.38
Positions (direct):
Pm 0.000 0.000 0.000
Pm 0.000 0.000 0.500
Tl 0.371 0.629 0.750
Tl 0.629 0.371 0.250
Cu 0.310 0.690 0.250
Cu 0.690 0.310 0.750
I 0.074 0.670 0.367
I 0.095 0.905 0.750
I 0.243 0.393 0.063
I 0.330 0.926 0.133
I 0.393 0.243 0.563
I 0.607 0.757 0.437
I 0.670 0.074 0.867
I 0.757 0.607 0.937
I 0.905 0.095 0.250
I 0.926 0.330 0.633

[9]
A relaxed Pr2CuI crystal. Source: Alexandria, functional PBE.

As for the space group: No. 160. As for the energy above the lowest structure with this stoichiometry: 0.15 kJ/mol of atoms. The total energy is -4.303 eV per atom. The calculation puts the uncorrected formation energy at -0.502 eV/atom.

abc: 8.402 8.402 8.402
angles: 29.05 29.05 29.05
Positions (direct):
Pr 0.000 0.000 0.000
Pr 0.199 0.199 0.199
Cu 0.600 0.600 0.600
I 0.432 0.432 0.432

[10]
A relaxed Pr4CuI5 crystal. Source: Alexandria, functional PBE.

As for the space group: No. 12. The total energy is -4.132 eV per atom. The calculation puts the uncorrected formation energy at -1.036 eV/atom.

abc: 10.022 10.022 9.235
angles: 102.02 102.02 24.41
Positions (direct):
Pr 0.000 0.000 0.213
Pr 0.000 0.000 0.787
Pr 0.349 0.349 0.926
Pr 0.651 0.651 0.074
Cu 0.500 0.500 0.000
I 0.168 0.168 0.343
I 0.173 0.173 0.817
I 0.500 0.500 0.500
I 0.827 0.827 0.183
I 0.832 0.832 0.657

[11]
A relaxed Pr2CuI crystal. Source: Alexandria, functional PBE.

As for the space group: No. 123. As for the energy above the lowest structure with this stoichiometry: 9.24 kJ/mol of atoms. The total energy is -4.209 eV per atom. The calculation puts the uncorrected formation energy at -0.408 eV/atom.

abc: 3.644 3.644 8.435
angles: 90.00 90.00 90.00
Positions (direct):
Pr 0.000 0.000 0.218
Pr 0.000 0.000 0.782
Cu 0.500 0.500 0.000
I 0.500 0.500 0.500

[12]
A relaxed Pr3CuI3 crystal. Source: Alexandria, functional PBE.

As for the space group: No. 214. The total energy is -4.198 eV per atom. The calculation puts the uncorrected formation energy at -0.900 eV/atom.

abc: 10.837 10.837 10.837
angles: 109.47 109.47 109.47
Positions (direct):
Pr 0.017 0.034 0.267
Pr 0.017 0.483 0.750
Pr 0.034 0.267 0.017
Pr 0.233 0.267 0.750
Pr 0.233 0.466 0.483
Pr 0.267 0.017 0.034
Pr 0.267 0.750 0.233
Pr 0.466 0.483 0.233
Pr 0.483 0.233 0.466
Pr 0.483 0.750 0.017
Pr 0.750 0.017 0.483
Pr 0.750 0.233 0.267
Cu 0.000 0.250 0.500
Cu 0.250 0.250 0.250
Cu 0.250 0.500 0.000
Cu 0.500 0.000 0.250
I 0.250 0.760 0.740
I 0.250 0.990 0.510
I 0.510 0.250 0.990
I 0.510 0.760 0.520
I 0.520 0.510 0.760
I 0.740 0.250 0.760
I 0.740 0.990 0.980
I 0.760 0.520 0.510
I 0.760 0.740 0.250
I 0.980 0.740 0.990
I 0.990 0.510 0.250
I 0.990 0.980 0.740

[13]
A relaxed Pr2Cu2I crystal. Source: Alexandria, functional PBE.

As for the space group: No. 166. The total energy is -4.401 eV per atom. The calculation puts the uncorrected formation energy at -0.541 eV/atom.

abc: 9.007 9.007 9.007
angles: 27.32 27.32 27.32
Positions (direct):
Pr 0.070 0.070 0.070
Pr 0.930 0.930 0.930
Cu 0.333 0.333 0.333
Cu 0.667 0.667 0.667
I 0.500 0.500 0.500

[14]
A relaxed Pr2CuI2 crystal. Source: Alexandria, functional PBE.

As for the space group: No. 166. The total energy is -4.139 eV per atom. The calculation puts the uncorrected formation energy at -0.788 eV/atom.

abc: 12.148 12.148 12.148
angles: 20.13 20.13 20.13
Positions (direct):
Pr 0.119 0.119 0.119
Pr 0.881 0.881 0.881
Cu 0.500 0.500 0.500
I 0.275 0.275 0.275
I 0.725 0.725 0.725

[15]
A relaxed Pr7CuI12 crystal. Source: Alexandria, functional PBE.

As for the space group: No. 148. The total energy is -3.825 eV per atom. The calculation puts the uncorrected formation energy at -1.017 eV/atom.

abc: 11.670 11.670 11.670
angles: 116.06 116.06 116.06
Positions (direct):
Pr 0.000 0.000 0.000
Pr 0.171 0.400 0.478
Pr 0.400 0.478 0.171
Pr 0.478 0.171 0.400
Pr 0.522 0.829 0.600
Pr 0.600 0.522 0.829
Pr 0.829 0.600 0.522
Cu 0.500 0.500 0.500
I 0.042 0.339 0.122
I 0.122 0.042 0.339
I 0.207 0.733 0.590
I 0.267 0.410 0.793
I 0.339 0.122 0.042
I 0.410 0.793 0.267
I 0.590 0.207 0.733
I 0.661 0.878 0.958
I 0.733 0.590 0.207
I 0.793 0.267 0.410
I 0.878 0.958 0.661
I 0.958 0.661 0.878

[16]
A relaxed PrCuI2 crystal. Source: Alexandria, functional PBE.

As for the space group: No. 166. The total energy is -3.218 eV per atom. The calculation puts the uncorrected formation energy at -0.224 eV/atom.

abc: 9.695 9.695 9.695
angles: 24.27 24.27 24.27
Positions (direct):
Pr 0.000 0.000 0.000
Cu 0.500 0.500 0.500
I 0.111 0.111 0.111
I 0.889 0.889 0.889

[17]
A relaxed Pr2CuI crystal. Source: Alexandria, functional PBE.

As for the space group: No. 166. As for the energy above the lowest structure with this stoichiometry: 0.00 kJ/mol of atoms. The total energy is -4.305 eV per atom. The calculation puts the uncorrected formation energy at -0.504 eV/atom.

abc: 8.261 8.261 8.261
angles: 29.89 29.89 29.89
Positions (direct):
Pr 0.234 0.234 0.234
Pr 0.766 0.766 0.766
Cu 0.500 0.500 0.500
I 0.000 0.000 0.000

[18]
A relaxed Pr6CuPt2I3 crystal. Source: Alexandria, functional PBE.

As for the space group: No. 12. The total energy is -5.029 eV per atom. The calculation puts the uncorrected formation energy at -0.904 eV/atom.

abc: 7.448 7.448 8.494
angles: 98.39 98.39 120.01
Positions (direct):
Pr 0.101 0.437 0.811
Pr 0.227 0.227 0.189
Pr 0.437 0.101 0.811
Pr 0.563 0.899 0.189
Pr 0.773 0.773 0.811
Pr 0.899 0.563 0.189
Cu 0.500 0.500 0.000
Pt 0.167 0.833 0.000
Pt 0.833 0.167 0.000
I 0.000 0.000 0.500
I 0.335 0.665 0.500
I 0.665 0.335 0.500

[19]
A relaxed Rb2PrCuI6 crystal. Source: Alexandria, functional PBE.

As for the space group: No. 225. As for the energy above the lowest structure with this stoichiometry: 4.15 kJ/mol of atoms. The total energy is -3.127 eV per atom. The calculation puts the uncorrected formation energy at -1.116 eV/atom.

abc: 8.498 8.498 8.498
angles: 60.00 60.00 60.00
Positions (direct):
Rb 0.250 0.250 0.250
Rb 0.750 0.750 0.750
Pr 0.000 0.000 0.000
Cu 0.500 0.500 0.500
I 0.260 0.260 0.740
I 0.260 0.740 0.260
I 0.260 0.740 0.740
I 0.740 0.260 0.260
I 0.740 0.260 0.740
I 0.740 0.740 0.260

[20]
A relaxed Rb2PrCuI6 crystal. Source: Alexandria, functional PBE.

As for the space group: No. 1. As for the energy above the lowest structure with this stoichiometry: 0.00 kJ/mol of atoms. The total energy is -3.170 eV per atom. The calculation puts the uncorrected formation energy at -1.159 eV/atom.

abc: 8.450 8.463 8.619
angles: 103.44 117.33 106.99
Positions (direct):
Rb 0.000 0.000 0.000
Rb 0.083 0.498 0.585
Pr 0.624 0.834 0.292
Cu 0.493 0.205 0.790
I 0.108 0.042 0.500
I 0.168 0.654 0.081
I 0.592 0.558 0.946
I 0.611 0.105 0.077
I 0.666 0.595 0.509
I 0.694 0.147 0.639